1.
An optimized crystal structure of CsCu2Os, computed with GGA-PBE.

Calculated values
The calculation puts the formation energy at 1.172 eV per atom. As for the magnetic moment: 0.00 μB per atom. As for the energy: -3.8966 eV/atom.

abc: 5.764 5.764 14.901
angles: 90.00 90.00 90.00
Space group I4_1/amd (No. 141, origin choice 2)
Unique sites:
Cs1 0.000 0.250 0.375 [4 per cell]
Cu1 0.000 0.000 0.000 [8 per cell]
Os1 0.000 0.250 0.875 [4 per cell]

---

2.
An optimized crystal structure of CsCu2TcOs, computed with GGA-PBE.

Calculated values
The calculation puts the formation energy at 3.111 eV per atom. As for the magnetic moment: 0.76 μB per atom. As for the energy: -3.0171 eV/atom.

abc: 4.877 4.877 5.072
angles: 90.00 90.00 90.00
Space group P4/mmm (No. 123)
Unique sites:
Cs1 0.000 0.000 0.000 [1 per cell]
Cu1 0.000 0.500 0.000 [2 per cell]
Tc1 0.500 0.500 0.500 [1 per cell]
Os1 0.000 0.000 0.500 [1 per cell]

---

3.
An optimized crystal structure of CsCuP3, computed with GGA-PBE.

Calculated values
The calculation puts the formation energy at 0.654 eV per atom. As for the magnetic moment: 0.00 μB per atom. As for the energy: -3.5816 eV/atom.

abc: 4.818 4.818 4.818
angles: 90.00 90.00 90.00
Space group Pm-3m (No. 221)
Unique sites:
Cs1 0.000 0.000 0.000 [1 per cell]
Cu1 0.500 0.500 0.500 [1 per cell]
P1 0.000 0.500 0.500 [3 per cell]

---

Fermi-level density of states across the listed records, respectively: 12.13, 4.52, 3.05 states/eV/cell.